# 1
First-principles (PBE) data for an optimized crystal structure of Tm2Ga5PdRu2, as listed in Alexandria via LeMat-Bulk.

a = 3.9166 Å, b = 9.5128 Å, c = 9.5128 Å
α = 90.00°, β = 90.00°, γ = 90.00°
Atoms (fractional coordinates):
Tm1 0.0000 0.6802 0.1802
Tm2 0.0000 0.3198 0.8198
Tm3 0.0000 0.1802 0.3198
Tm4 0.0000 0.8198 0.6802
Ga1 0.5000 0.2002 0.0591
Ga2 0.5000 0.7998 0.9409
Ga3 0.5000 0.0591 0.7998
Ga4 0.5000 0.7002 0.4409
Ga5 0.5000 0.9409 0.2002
Ga6 0.5000 0.2998 0.5591
Ga7 0.5000 0.5591 0.7002
Ga8 0.5000 0.4409 0.2998
Ga9 0.5000 0.5000 0.0000
Ga10 0.5000 0.0000 0.5000
Pd1 0.0000 0.0000 0.0000
Pd2 0.0000 0.5000 0.5000
Ru1 0.0000 0.1177 0.6177
Ru2 0.0000 0.8823 0.3823
Ru3 0.0000 0.6177 0.8823
Ru4 0.0000 0.3823 0.1177

Properties
energy of formation: -0.46 eV per atom
DOS at the Fermi energy: 5.83 states/eV/f.u.
total DFT energy (no corrections): -104.793 eV per cell

---

# 2
First-principles (PBE) data for an optimized crystal structure of GaPd2RuW, as listed in Alexandria via LeMat-Bulk.

a = 4.4306 Å, b = 4.7754 Å, c = 4.4306 Å
α = 90.00°, β = 90.00°, γ = 90.00°
Last column: magnetic moment on the atom in μB.
Atoms (fractional coordinates):
Ru1 0.5000 0.5000 0.5000  1.41
Ga1 0.0000 0.0000 0.0000  0.03
Pd1 0.0000 0.0000 0.5000  0.00
Pd2 0.5000 0.0000 0.0000  0.01
W1 0.0000 0.5000 0.0000  -0.34

Properties
energy of formation: 1.33 eV per atom
DOS at the Fermi energy: 6.12 states/eV/f.u.
total DFT energy (no corrections): -29.003 eV per cell

---

# 3
First-principles (PBE) data for an optimized crystal structure of YGa4PdRu2, as listed in Alexandria via LeMat-Bulk.

a = 4.2738 Å, b = 4.2738 Å, c = 8.8284 Å
α = 75.99°, β = 75.99°, γ = 60.00°
Atoms (fractional coordinates):
Y1 0.0000 0.0000 0.0000
Ga1 0.3974 0.3974 0.8077
Ga2 0.8714 0.8714 0.3858
Ga3 0.1286 0.1286 0.6142
Ga4 0.6026 0.6026 0.1923
Pd1 0.5000 0.5000 0.5000
Ru1 0.7656 0.7656 0.7031
Ru2 0.2344 0.2344 0.2969

Properties
energy of formation: -0.48 eV per atom
DOS at the Fermi energy: 4.89 states/eV/f.u.
total DFT energy (no corrections): -46.161 eV per cell

---

# 4
First-principles (PBE) data for an optimized crystal structure of ZrGaPdRu, as listed in Alexandria via LeMat-Bulk.

a = 4.5175 Å, b = 4.5175 Å, c = 4.5175 Å
α = 60.00°, β = 60.00°, γ = 60.00°
Atoms (fractional coordinates):
Ru1 0.0000 0.0000 0.0000
Ga1 0.2500 0.2500 0.2500
Zr1 0.7500 0.7500 0.7500
Pd1 0.5000 0.5000 0.5000

Properties
energy of formation: -0.59 eV per atom
distance to the lowest polymorph of the same formula: 0.035 eV/atom
DOS at the Fermi energy: 3.84 states/eV/f.u.
total DFT energy (no corrections): -28.392 eV per cell

---

# 5
First-principles (PBE) data for an optimized crystal structure of ZrGaPdRu, as listed in Alexandria via LeMat-Bulk.

a = 4.2807 Å, b = 4.2808 Å, c = 4.6586 Å
α = 117.36°, β = 117.35°, γ = 90.00°
Atoms (fractional coordinates):
Zr1 0.2500 0.7500 0.5000
Ga1 0.7500 0.2500 0.5000
Pd1 0.5000 0.5000 0.0000
Ru1 0.0000 0.0000 0.0000

Properties
energy of formation: -0.62 eV per atom
distance to the lowest polymorph of the same formula: 0.000 eV/atom
DOS at the Fermi energy: 0.83 states/eV/f.u.
total DFT energy (no corrections): -28.532 eV per cell

---

# 6
First-principles (PBE) data for an optimized crystal structure of GaPd3S, as listed in Alexandria via LeMat-Bulk.

a = 4.6317 Å, b = 4.6317 Å, c = 4.6317 Å
α = 90.00°, β = 90.00°, γ = 90.00°
Atoms (fractional coordinates):
S1 0.5000 0.5000 0.5000
Ga1 0.0000 0.0000 0.0000
Pd1 0.0000 0.5000 0.0000
Pd2 0.0000 0.0000 0.5000
Pd3 0.5000 0.0000 0.0000

Properties
distance to the lowest polymorph of the same formula: 0.843 eV/atom
DOS at the Fermi energy: 3.74 states/eV/f.u.
total DFT energy (no corrections): -20.388 eV per cell
formation energy without anion corrections: 0.47 eV per atom

---

# 7
First-principles (PBE) data for an optimized crystal structure of GaPd3S, as listed in Alexandria via LeMat-Bulk.

a = 4.5356 Å, b = 4.5356 Å, c = 4.5356 Å
α = 90.00°, β = 90.00°, γ = 90.00°
Atoms (fractional coordinates):
S1 0.0000 0.0000 0.0000
Ga1 0.5000 0.5000 0.5000
Pd1 0.0000 0.5000 0.0000
Pd2 0.0000 0.0000 0.5000
Pd3 0.5000 0.0000 0.0000

Properties
distance to the lowest polymorph of the same formula: 0.326 eV/atom
DOS at the Fermi energy: 5.53 states/eV/f.u.
total DFT energy (no corrections): -22.973 eV per cell
formation energy without anion corrections: -0.05 eV per atom

---

# 8
First-principles (PBE) data for an optimized crystal structure of GaPdS2, as listed in Alexandria via LeMat-Bulk.

a = 5.5694 Å, b = 5.5694 Å, c = 6.5774 Å
α = 64.95°, β = 64.95°, γ = 90.00°
Atoms (fractional coordinates):
S1 0.6140 0.1250 0.2500
S2 0.1360 0.6250 0.2500
S3 0.3750 0.3860 0.7500
S4 0.8750 0.8640 0.7500
Ga1 0.5000 0.5000 0.0000
Ga2 0.2500 0.7500 0.5000
Pd1 0.0000 0.0000 0.0000
Pd2 0.7500 0.2500 0.5000

Properties
DOS at the Fermi energy: 5.22 states/eV/f.u.
total DFT energy (no corrections): -36.078 eV per cell
formation energy without anion corrections: -0.39 eV per atom

---

# 9
First-principles (PBE) data for an optimized crystal structure of GaPd6S, as listed in Alexandria via LeMat-Bulk.

a = 5.5728 Å, b = 5.5685 Å, c = 5.4761 Å
α = 59.44°, β = 76.65°, γ = 62.99°
Atoms (fractional coordinates):
Ga1 0.0000 0.0000 0.0000
Pd1 0.7484 0.4781 0.5863
Pd2 0.7484 0.0645 0.4137
Pd3 0.2516 0.9355 0.5863
Pd4 0.2516 0.5219 0.4137
Pd5 0.7511 0.7308 0.0000
Pd6 0.2489 0.2692 0.0000
S1 0.5000 0.5000 0.0000

Properties
DOS at the Fermi energy: 4.12 states/eV/f.u.
total DFT energy (no corrections): -39.167 eV per cell
formation energy without anion corrections: -0.11 eV per atom

---

# 10
First-principles (PBE) data for an optimized crystal structure of GaPdS, as listed in Alexandria via LeMat-Bulk.

a = 3.4896 Å, b = 4.9888 Å, c = 8.1786 Å
α = 96.54°, β = 77.68°, γ = 69.53°
Atoms (fractional coordinates):
Ga1 0.2699 0.7834 0.6768
Ga2 0.7301 0.2166 0.3232
Pd1 0.9107 0.7509 0.4278
Pd2 0.0893 0.2491 0.5722
S1 0.2313 0.3644 0.1729
S2 0.7687 0.6356 0.8271

Properties
DOS at the Fermi energy: 1.12 states/eV/f.u.
total DFT energy (no corrections): -26.987 eV per cell
formation energy without anion corrections: -0.38 eV per atom

---

# 11
First-principles (PBE) data for an optimized crystal structure of GaPdS2, as listed in Alexandria via LeMat-Bulk.

a = 7.5526 Å, b = 7.5526 Å, c = 7.5526 Å
α = 26.91°, β = 26.91°, γ = 26.91°
Atoms (fractional coordinates):
S1 0.8955 0.8955 0.8955
S2 0.1045 0.1045 0.1045
Ga1 0.5000 0.5000 0.5000
Pd1 0.0000 0.0000 0.0000

Properties
DOS at the Fermi energy: 2.86 states/eV/f.u.
total DFT energy (no corrections): -17.555 eV per cell
formation energy without anion corrections: -0.27 eV per atom

---

# 12
First-principles (PBE) data for an optimized crystal structure of Ga2PdS, as listed in Alexandria via LeMat-Bulk.

a = 4.2381 Å, b = 4.2381 Å, c = 6.4877 Å
α = 70.94°, β = 70.94°, γ = 60.00°
Atoms (fractional coordinates):
S1 0.0000 0.0000 0.0000
Ga1 0.1232 0.1232 0.6305
Ga2 0.8768 0.8768 0.3695
Pd1 0.5000 0.5000 0.5000

Properties
DOS at the Fermi energy: 1.01 states/eV/f.u.
total DFT energy (no corrections): -15.999 eV per cell
formation energy without anion corrections: -0.16 eV per atom

---

- Which of these has the highest total DFT energy (no corrections)?
  Ga2PdS

---

- Among the records above, which one has the lowest DOS at the Fermi energy?
  number 5